HfMg2Cu2 | PBE | relaxed

## Properties
E, eV per atom: -4.218
Total magnetization, μB/f.u.: 0.0

Cell: 7.601 7.601 2.968 Å, 90.00 90.00 90.00°
Space group P4/mbm (No. 127)
Asymmetric unit:
Hf  0.000  0.000  0.000 (multiplicity 2)
Mg  0.158  0.342  0.500 (multiplicity 4)
Cu  0.138  0.638  0.000 (multiplicity 4)